1.
Crystalline Sr2Sb3Au9 at its relaxed geometry, computed with PBE.

Lattice parameters (Å, degrees): 8.475 8.475 11.370 112.03 112.03 59.84
Positions (direct):
Sr 0.091 0.249 0.248
Sr 0.249 0.091 0.748
Sr 0.751 0.909 0.252
Sr 0.909 0.751 0.752
Sb 0.000 0.500 0.000
Sb 0.112 0.712 0.508
Sb 0.288 0.888 0.992
Sb 0.500 0.000 0.500
Sb 0.712 0.112 0.008
Sb 0.888 0.288 0.492
Au 0.061 0.836 0.107
Au 0.164 0.939 0.393
Au 0.203 0.376 0.585
Au 0.237 0.554 0.270
Au 0.295 0.489 0.923
Au 0.366 0.634 0.750
Au 0.376 0.203 0.085
Au 0.446 0.763 0.230
Au 0.489 0.295 0.423
Au 0.511 0.705 0.577
Au 0.554 0.237 0.770
Au 0.624 0.797 0.915
Au 0.634 0.366 0.250
Au 0.705 0.511 0.077
Au 0.763 0.446 0.730
Au 0.797 0.624 0.415
Au 0.836 0.061 0.607
Au 0.939 0.164 0.893

Magnetic moment = 0.00 μB/f.u.
Symmetry = C2/c, No. 15
Uncorrected formation energy = -0.361 eV per atom


2.
Crystalline SrSbAu5 at its relaxed geometry, computed with PBE.

Lattice parameters (Å, degrees): 9.675 5.732 11.301 90.00 90.00 90.00
Positions (direct):
Sr 0.250 0.250 0.055
Sr 0.250 0.750 0.555
Sr 0.750 0.250 0.445
Sr 0.750 0.750 0.945
Sb 0.135 0.250 0.348
Sb 0.365 0.750 0.848
Sb 0.635 0.250 0.152
Sb 0.865 0.750 0.652
Au 0.076 0.250 0.580
Au 0.076 0.750 0.019
Au 0.081 0.504 0.800
Au 0.081 0.996 0.800
Au 0.170 0.750 0.260
Au 0.330 0.250 0.760
Au 0.419 0.004 0.300
Au 0.419 0.496 0.300
Au 0.424 0.250 0.519
Au 0.424 0.750 0.080
Au 0.576 0.250 0.920
Au 0.576 0.750 0.481
Au 0.581 0.504 0.700
Au 0.581 0.996 0.700
Au 0.670 0.750 0.240
Au 0.830 0.250 0.740
Au 0.919 0.004 0.200
Au 0.919 0.496 0.200
Au 0.924 0.250 0.981
Au 0.924 0.750 0.420

Magnetic moment = 0.00 μB/f.u.
Symmetry = Pnma, No. 62
Uncorrected formation energy = -0.376 eV per atom


3.
Crystalline Sr6SbAu5 at its relaxed geometry, computed with PBE.

Lattice parameters (Å, degrees): 9.543 9.543 5.457 106.58 106.58 120.23
Positions (direct):
Sr 0.080 0.417 0.748
Sr 0.246 0.246 0.246
Sr 0.417 0.080 0.748
Sr 0.583 0.920 0.252
Sr 0.754 0.754 0.754
Sr 0.920 0.583 0.252
Sb 0.500 0.500 0.000
Au 0.000 0.000 0.500
Au 0.166 0.834 0.000
Au 0.330 0.670 0.500
Au 0.670 0.330 0.500
Au 0.834 0.166 0.000

Magnetic moment = 0.00 μB/f.u.
Symmetry = C2/m, No. 12
Uncorrected formation energy = -0.785 eV per atom


4.
Crystalline SrSb2Au2 at its relaxed geometry, computed with PBE.

Lattice parameters (Å, degrees): 5.894 6.515 8.614 81.10 70.00 63.25
Positions (direct):
Sr 0.126 0.249 0.249
Sr 0.874 0.751 0.751
Sb 0.265 0.751 0.972
Sb 0.485 0.751 0.528
Sb 0.515 0.249 0.472
Sb 0.735 0.249 0.028
Au 0.166 0.168 0.750
Au 0.418 0.664 0.250
Au 0.582 0.336 0.750
Au 0.834 0.832 0.250

Magnetic moment = 0.00 μB/f.u.
Symmetry = P-1, No. 2
Uncorrected formation energy = -0.459 eV per atom


5.
Crystalline Sr2SbAu3 at its relaxed geometry, computed with PBE.

Lattice parameters (Å, degrees): 9.603 9.264 6.356 73.22 67.46 39.32
Positions (direct):
Sr 0.235 0.765 0.765
Sr 0.250 0.250 0.250
Sr 0.750 0.750 0.750
Sr 0.765 0.235 0.235
Sb 0.336 0.336 0.664
Sb 0.664 0.664 0.336
Au 0.165 0.667 0.333
Au 0.168 0.168 0.832
Au 0.333 0.835 0.165
Au 0.667 0.165 0.835
Au 0.832 0.832 0.168
Au 0.835 0.333 0.667

Magnetic moment = 0.00 μB/f.u.
Symmetry = Fmmm, No. 69
Uncorrected formation energy = -0.783 eV per atom


6.
Crystalline SrSbTe3Au at its relaxed geometry, computed with PBE.

Lattice parameters (Å, degrees): 8.987 4.458 9.813 90.00 100.19 90.00
Positions (direct):
Sr 0.164 0.250 0.264
Sr 0.836 0.750 0.736
Sb 0.339 0.750 0.854
Sb 0.661 0.250 0.146
Te 0.111 0.250 0.884
Te 0.258 0.750 0.525
Te 0.421 0.750 0.164
Te 0.579 0.250 0.836
Te 0.742 0.250 0.475
Te 0.889 0.750 0.116
Au 0.070 0.250 0.584
Au 0.930 0.750 0.416

Magnetic moment = 0.00 μB/f.u.
Symmetry = P2_1/m, No. 11
Uncorrected formation energy = -0.591 eV per atom